1.
The following is a PBEsol calculation of crystalline MgZrCo at its relaxed geometry, from Alexandria.

Output
- distance to the lowest polymorph of the same formula (kcal/mol of atoms) = 20.87
- DFT formation energy (eV/atom) = 0.849

a = 6.1849 Å, b = 6.1849 Å, c = 6.1849 Å
α = 90.00°, β = 90.00°, γ = 90.00°
Space group F-43m (No. 216)
Inequivalent atoms, fractional coordinates:
Mg (0.0000, 0.0000, 0.0000) [4 per cell]
Zr (0.2500, 0.2500, 0.2500) [4 per cell]
Co (0.0000, 0.0000, 0.5000) [4 per cell]



2.
The following is a PBEsol calculation of crystalline MgZrCo at its relaxed geometry, from Alexandria.

Output
- distance to the lowest polymorph of the same formula (kcal/mol of atoms) = 0.00
- DFT formation energy (eV/atom) = -0.056

a = 3.1123 Å, b = 3.1123 Å, c = 10.8043 Å
α = 90.00°, β = 90.00°, γ = 90.00°
Space group I4mm (No. 107)
Inequivalent atoms, fractional coordinates:
Mg (0.0000, 0.0000, 0.0000) [2 per cell]
Zr (0.0000, 0.0000, 0.2764) [2 per cell]
Co (0.0000, 0.0000, 0.6529) [2 per cell]



3.
The following is a PBEsol calculation of crystalline MgZr4Co at its relaxed geometry, from Alexandria.

Output
- DFT formation energy (eV/atom) = 0.578

a = 7.9359 Å, b = 7.9359 Å, c = 7.9359 Å
α = 90.00°, β = 90.00°, γ = 90.00°
Space group F-43m (No. 216)
Inequivalent atoms, fractional coordinates:
Mg (0.0000, 0.0000, 0.0000) [4 per cell]
Zr (0.1241, 0.1241, 0.3759) [16 per cell]
Co (0.2500, 0.2500, 0.7500) [4 per cell]



4.
The following is a PBEsol calculation of crystalline MgZrCo at its relaxed geometry, from Alexandria.

Output
- distance to the lowest polymorph of the same formula (kcal/mol of atoms) = 4.70
- DFT formation energy (eV/atom) = 0.148

a = 3.2046 Å, b = 3.2046 Å, c = 6.2423 Å
α = 90.00°, β = 90.00°, γ = 120.00°
Space group P3m1 (No. 156)
Inequivalent atoms, fractional coordinates:
Mg (0.0000, 0.0000, 0.0000) [1 per cell]
Zr (0.3333, 0.6667, 0.5644) [1 per cell]
Co (0.6667, 0.3333, 0.3104) [1 per cell]



5.
The following is a PBEsol calculation of crystalline Mg2ZrCo at its relaxed geometry, from Alexandria.

Output
- DFT formation energy (eV/atom) = 0.074

a = 3.2771 Å, b = 4.8872 Å, c = 9.0847 Å
α = 90.00°, β = 90.00°, γ = 90.00°
Space group Imm2 (No. 44)
Inequivalent atoms, fractional coordinates:
Mg (0.0000, 0.0000, 0.0000) [2 per cell]
Mg (0.0000, 0.5000, 0.2120) [2 per cell]
Zr (0.0000, 0.5000, 0.7961) [2 per cell]
Co (0.0000, 0.0000, 0.4893) [2 per cell]



6.
The following is a PBEsol calculation of crystalline MgZr2Co at its relaxed geometry, from Alexandria.

Output
- DFT formation energy (eV/atom) = -0.078

a = 2.9656 Å, b = 2.9656 Å, c = 8.5961 Å
α = 90.00°, β = 90.00°, γ = 90.00°
Space group P4/mmm (No. 123)
Inequivalent atoms, fractional coordinates:
Mg (0.0000, 0.0000, 0.0000) [1 per cell]
Zr (0.5000, 0.5000, 0.3038) [2 per cell]
Co (0.0000, 0.0000, 0.5000) [1 per cell]



7.
The following is a PBEsol calculation of crystalline MnCo2 at its relaxed geometry, from Alexandria.

Output
- DFT formation energy (eV/atom) = 0.039

a = 2.4155 Å, b = 3.4344 Å, c = 7.2654 Å
α = 90.00°, β = 90.00°, γ = 90.00°
Space group Immm (No. 71)
Inequivalent atoms, fractional coordinates:
Mn (0.0000, 0.0000, 0.0000) [2 per cell]
Co (0.0000, 0.0000, 0.3341) [4 per cell]



8.
The following is a PBEsol calculation of crystalline MnCo2 at its relaxed geometry, from Alexandria.

Output
- DFT formation energy (eV/atom) = -0.001

a = 2.4195 Å, b = 12.6881 Å, c = 3.8750 Å
α = 90.00°, β = 90.00°, γ = 90.00°
Space group Cmcm (No. 63)
Inequivalent atoms, fractional coordinates:
Mn (0.0000, 0.1123, 0.2500) [4 per cell]
Co (0.0000, 0.2229, 0.7500) [4 per cell]
Co (0.0000, 0.4460, 0.2500) [4 per cell]